Entry 1:
The following is a GGA-PBE calculation of crystalline SiP2Ru at its relaxed geometry, from the Alexandria database.

Cell and atoms, written as extended XYZ:
```
4
Lattice="-2.894 0.428 3.368 -3.659 -1.963 -1.629 4.128 -1.683 0.173" Properties=species:S:1:pos:R:3 pbc="T T T"
Si -1.022 -1.012 2.205
Ru -3.277 -0.768 0.869
P -1.404 -2.207 -0.293
P 0.000 0.000 0.000
```

Properties
Total energy ... -6.075 eV per atom
Symmetry ... No. 119
Formation energy (no corrections) ... 305 meV per atom

Entry 2:
The following is a GGA-PBE calculation of crystalline PrAl3Hg3 at its relaxed geometry, from the Alexandria database.

Cell and atoms, written as extended XYZ:
```
14
Lattice="7.266 0.000 0.000 0.000 7.266 0.000 0.000 0.000 7.266" Properties=species:S:1:pos:R:3 pbc="T T T"
Al 3.633 0.000 5.450
Al 0.000 5.450 3.633
Al 0.000 1.817 3.633
Al 5.450 3.633 0.000
Al 3.633 0.000 1.817
Al 1.817 3.633 0.000
Hg 5.450 0.000 3.633
Pr 3.633 3.633 3.633
Hg 0.000 3.633 5.450
Hg 1.817 0.000 3.633
Hg 3.633 1.817 0.000
Pr 0.000 0.000 0.000
Hg 0.000 3.633 1.817
Hg 3.633 5.450 0.000
```

Properties
Total energy ... -2.200 eV per atom
Symmetry ... No. 223

Entry 3:
The following is a GGA-PBE calculation of crystalline Be2Te at its relaxed geometry, from the Alexandria database.

Cell and atoms, written as extended XYZ:
```
6
Lattice="1.914 -7.723 0.000 1.914 7.723 0.000 0.000 0.000 3.939" Properties=species:S:1:pos:R:3 pbc="T T T"
Be 1.914 0.323 2.954
Te 1.914 5.476 0.985
Be 1.914 -3.948 0.985
Be 1.914 -0.323 0.985
Be 1.914 3.948 2.954
Te 1.914 -5.476 2.954
```

Properties
Total energy ... -3.006 eV per atom
E above lowest polymorph ... 504.0 meV/atom
Symmetry ... No. 63
Formation energy (no corrections) ... 525 meV per atom

Entry 4:
The following is a GGA-PBE calculation of crystalline GdZnIrPd at its relaxed geometry, from the Alexandria database.

Cell and atoms, written as extended XYZ:
```
4
Lattice="4.659 0.000 0.000 2.329 4.035 0.000 2.329 1.345 3.804" Properties=species:S:1:pos:R:3 pbc="T T T"
Pd 4.659 2.690 1.902
Ir 0.000 0.000 0.000
Zn 6.988 4.035 2.853
Gd 2.329 1.345 0.951
```

Properties
Total energy ... -7.889 eV per atom
Symmetry ... No. 216

Entry 5:
The following is a GGA-PBE calculation of crystalline In2GaIr at its relaxed geometry, from the Alexandria database.

Cell and atoms, written as extended XYZ:
```
8
Lattice="-2.568 7.961 5.712 -8.846 0.656 -4.892 -6.713 2.822 2.030" Properties=species:S:1:pos:R:3 pbc="T T T"
In -7.108 5.184 3.051
In -9.455 8.085 2.451
Ir 0.000 0.000 0.000
Ga -5.707 4.309 0.410
In -5.030 7.750 4.892
In -8.383 9.164 5.912
Ir -7.494 7.546 4.076
Ga -10.633 3.894 -1.226
```

Properties
Total energy ... -4.510 eV per atom
Symmetry ... No. 141

Entry 6:
The following is a GGA-PBE calculation of crystalline MgFe2Ag at its relaxed geometry, from the Alexandria database.

Cell and atoms, written as extended XYZ:
```
4
Lattice="4.877 -0.009 -0.030 -2.211 4.800 0.012 0.455 0.743 2.561" Properties=species:S:1:pos:R:3 pbc="T T T"
Mg -0.878 2.771 1.287
Fe 0.000 0.000 0.000
Fe 2.666 0.367 1.265
Ag 1.333 2.395 -0.009
```

Properties
Total energy ... -5.030 eV per atom
Symmetry ... No. 12

Entry 7:
The following is a GGA-PBE calculation of crystalline BaAgCl2 at its relaxed geometry, from the Alexandria database.

Cell and atoms, written as extended XYZ:
```
4
Lattice="8.228 0.002 0.004 -3.082 3.995 0.000 2.064 1.617 3.213" Properties=species:S:1:pos:R:3 pbc="T T T"
Ag -0.509 2.806 1.607
Ba 2.573 1.998 0.002
Cl 0.000 0.000 0.000
Cl 5.146 0.810 1.609
```

Properties
Total energy ... -3.412 eV per atom
E above lowest polymorph ... 21.9 meV/atom
Symmetry ... No. 12
Formation energy (no corrections) ... -1295 meV per atom

Entry 8:
The following is a GGA-PBE calculation of crystalline Ti3CoH at its relaxed geometry, from the Alexandria database.

Cell and atoms, written as extended XYZ:
```
20
Lattice="5.011 -0.131 -0.140 -0.718 7.150 -0.174 -0.718 -0.632 7.124" Properties=species:S:1:pos:R:3 pbc="T T T"
Ti 0.411 0.195 1.419
H 0.534 5.529 1.280
Co 4.222 2.682 1.710
Ti 2.216 6.406 2.165
Ti 0.658 5.048 6.594
H 3.040 6.568 0.174
Ti -0.650 4.944 3.113
Co -0.648 3.704 5.100
Ti 2.917 1.338 0.215
Co 1.858 4.786 3.954
Ti 3.864 4.571 0.208
Ti 4.224 1.442 3.697
H 0.534 -0.182 6.636
Ti 1.719 3.662 1.746
Ti 1.359 -0.020 4.645
H 3.040 0.857 5.530
Co 1.717 1.600 2.856
Ti 1.855 2.724 5.063
Ti 3.163 6.192 5.390
Ti -0.290 1.815 6.602
```

Properties
Total energy ... -7.023 eV per atom
E above lowest polymorph ... 0.0 meV/atom
Symmetry ... No. 15

Entry 9:
The following is a GGA-PBE calculation of crystalline FeSn3W at its relaxed geometry, from the Alexandria database.

Cell and atoms, written as extended XYZ:
```
5
Lattice="4.791 0.000 0.000 0.000 4.791 0.000 0.000 0.000 4.791" Properties=species:S:1:pos:R:3 pbc="T T T"
Sn 0.000 2.396 0.000
Sn 0.000 0.000 2.396
W 2.396 2.396 2.396
Fe 0.000 0.000 0.000
Sn 2.396 0.000 0.000
```

Properties
Total energy ... -5.568 eV per atom
E above lowest polymorph ... 78.3 meV/atom
Symmetry ... No. 221

Entry 10:
The following is a GGA-PBE calculation of crystalline RbPdI2 at its relaxed geometry, from the Alexandria database.

Cell and atoms, written as extended XYZ:
```
4
Lattice="-0.968 3.344 3.003 1.680 -0.192 4.275 6.572 4.961 0.112" Properties=species:S:1:pos:R:3 pbc="T T T"
I 5.899 6.354 5.384
Rb 3.642 4.057 3.695
I 1.386 1.760 2.006
Pd 0.000 0.000 0.000
```

Properties
Total energy ... -2.840 eV per atom
E above lowest polymorph ... 71.8 meV/atom
Symmetry ... No. 166
Formation energy (no corrections) ... -525 meV per atom

Entry 11:
The following is a GGA-PBE calculation of crystalline PrSmHg at its relaxed geometry, from the Alexandria database.

Cell and atoms, written as extended XYZ:
```
3
Lattice="5.253 0.000 0.000 2.627 4.549 0.000 2.627 1.516 4.289" Properties=species:S:1:pos:R:3 pbc="T T T"
Hg 2.627 1.516 1.072
Sm 0.000 0.000 0.000
Pr 5.253 3.033 2.145
```

Properties
Total energy ... -3.362 eV per atom
E above lowest polymorph ... 210.1 meV/atom
Symmetry ... No. 216

Entry 12:
The following is a GGA-PBE calculation of crystalline Hf6Zr2HO at its relaxed geometry, from the Alexandria database.

Cell and atoms, written as extended XYZ:
```
10
Lattice="6.360 -0.027 0.001 -0.027 6.360 0.001 -3.166 -3.165 4.548" Properties=species:S:1:pos:R:3 pbc="T T T"
Hf 1.593 -1.588 4.548
Zr 3.183 -0.012 2.274
Hf -1.564 -1.561 4.546
Hf 0.000 0.003 2.281
O 3.195 -3.190 4.548
Hf -1.591 1.596 4.548
Zr -0.016 3.186 2.274
Hf 3.167 3.171 2.268
Hf 4.731 4.734 0.002
H 3.166 3.170 0.002
```

Properties
Total energy ... -9.056 eV per atom
Symmetry ... No. 69

- Which value of total energy does entry 8 give?
  -7.023 eV per atom

Copy entry 10 word for word.
The following is a GGA-PBE calculation of crystalline RbPdI2 at its relaxed geometry, from the Alexandria database.

Cell and atoms, written as extended XYZ:
```
4
Lattice="-0.968 3.344 3.003 1.680 -0.192 4.275 6.572 4.961 0.112" Properties=species:S:1:pos:R:3 pbc="T T T"
I 5.899 6.354 5.384
Rb 3.642 4.057 3.695
I 1.386 1.760 2.006
Pd 0.000 0.000 0.000
```

Properties
Total energy ... -2.840 eV per atom
E above lowest polymorph ... 71.8 meV/atom
Symmetry ... No. 166
Formation energy (no corrections) ... -525 meV per atom